No. 1
The following is a DFT calculation (PBE-GGA) of crystalline Nd5Ge2H at its relaxed geometry.

It has space group Fmm2 (No. 42), with a = 9.8746 Å, b = 9.8997 Å, c = 8.6323 Å, α = 90.00°, β = 90.00° and γ = 90.00°. The inequivalent atoms are Nd at (0.0000, 0.0000, 0.0000), Nd at (0.0000, 0.2500, 0.2454), Nd at (0.2501, 0.0000, 0.2454), Ge at (0.2500, 0.2500, 0.4968) and H at (0.0000, 0.0000, 0.2721).

=====

No. 2
The following is a DFT calculation (PBE-GGA) of crystalline Nd2GeH at its relaxed geometry.

It has space group P3_121 (No. 152), with a = 6.3577 Å, b = 6.3577 Å, c = 8.3290 Å, α = 90.00°, β = 90.00° and γ = 120.00°. The inequivalent atoms are Nd at (0.1088, 0.3925, 0.3796), Ge at (0.0000, 0.5975, 0.6667) and H at (0.0000, 0.5464, 0.1667).

=====

No. 3
The following is a DFT calculation (PBE-GGA) of crystalline NdGeH at its relaxed geometry.

It has space group Pnma (No. 62), with a = 8.0721 Å, b = 4.0870 Å, c = 6.2502 Å, α = 90.00°, β = 90.00° and γ = 90.00°. The inequivalent atoms are Nd at (0.1753, 0.2500, 0.1203), Ge at (0.0293, 0.2500, 0.6176) and H at (0.1212, 0.7500, 0.9268).

=====

No. 4
The following is a DFT calculation (PBE-GGA) of crystalline NdGeH at its relaxed geometry.

It has space group Cmcm (No. 63), with a = 4.2228 Å, b = 12.0302 Å, c = 4.0828 Å, α = 90.00°, β = 90.00° and γ = 90.00°. The inequivalent atoms are Nd at (0.0000, 0.1475, 0.2500), Ge at (0.0000, 0.4368, 0.2500) and H at (0.0000, 0.2545, 0.7500).

=====

No. 5
The following is a DFT calculation (PBE-GGA) of crystalline Nd6Ge3H at its relaxed geometry.

It has space group P2_1/c (No. 14), with a = 6.4262 Å, b = 8.1883 Å, c = 11.9232 Å, α = 90.00°, β = 121.78° and γ = 90.00°. The inequivalent atoms are Nd at (0.0694, 0.1849, 0.4397), Nd at (0.2954, 0.6685, 0.4416), Nd at (0.3707, 0.0401, 0.2327), Ge at (0.1703, 0.1189, 0.7471), Ge at (0.5000, 0.0000, 0.5000) and H at (0.0000, 0.0000, 0.0000).

=====

No. 6
The following is a DFT calculation (PBE-GGA) of crystalline Nd4Ge2H at its relaxed geometry.

It has space group P2_1/m (No. 11), with a = 6.5548 Å, b = 6.5772 Å, c = 8.7955 Å, α = 90.00°, β = 109.29° and γ = 90.00°. The inequivalent atoms are Nd at (0.0114, 0.0006, 0.2644), Nd at (0.4082, 0.2500, 0.0893), Nd at (0.4304, 0.2500, 0.6215), Ge at (0.2163, 0.7500, 0.0491), Ge at (0.2657, 0.7500, 0.5719) and H at (0.2506, 0.2500, 0.8113).

=====

No. 7
The following is a DFT calculation (PBE-GGA) of crystalline Nd3Ge2H at its relaxed geometry.

It has space group C2/c (No. 15), with a = 13.2043 Å, b = 5.9844 Å, c = 8.3433 Å, α = 90.00°, β = 108.43° and γ = 90.00°. The inequivalent atoms are Nd at (0.0000, 0.0288, 0.2500), Nd at (0.1649, 0.4990, 0.5824), Ge at (0.1656, 0.0023, 0.0828) and H at (0.0000, 0.4546, 0.2500).

=====

No. 8
The following is a DFT calculation (PBE-GGA) of crystalline Nd12Ge3H5 at its relaxed geometry.

It has space group Ia-3d (No. 230), with a = 15.8127 Å, b = 15.8127 Å, c = 15.8127 Å, α = 90.00°, β = 90.00° and γ = 90.00°. The inequivalent atoms are Nd at (0.0368, 0.0604, 0.6527), Ge at (0.0000, 0.2500, 0.1250), H at (0.0000, 0.0000, 0.0000) and H at (0.0000, 0.2500, 0.3750).

=====

No. 9
The following is a DFT calculation (PBE-GGA) of crystalline NdGeH at its relaxed geometry.

It has space group P3m1 (No. 156), with a = 3.7661 Å, b = 3.7661 Å, c = 4.8032 Å, α = 90.00°, β = 90.00° and γ = 120.00°. The inequivalent atoms are Nd at (0.0000, 0.0000, 0.0000), Ge at (0.3333, 0.6667, 0.5000) and H at (0.6667, 0.3333, 0.0013).

=====

No. 10
The following is a DFT calculation (PBE-GGA) of crystalline Nd4Ge2H at its relaxed geometry.

It has space group I4/mmm (No. 139), with a = 4.5865 Å, b = 4.5865 Å, c = 16.6250 Å, α = 90.00°, β = 90.00° and γ = 90.00°. The inequivalent atoms are Nd at (0.0000, 0.0000, 0.1824), Nd at (0.0000, 0.5000, 0.0000), Ge at (0.0000, 0.0000, 0.3650) and H at (0.0000, 0.0000, 0.0000).

=====

No. 11
The following is a DFT calculation (PBE-GGA) of crystalline Nd3Ge2H at its relaxed geometry.

It has space group Pnma (No. 62), with a = 8.3056 Å, b = 4.2582 Å, c = 16.6342 Å, α = 90.00°, β = 90.00° and γ = 90.00°. The inequivalent atoms are Nd at (0.0038, 0.2500, 0.1041), Nd at (0.1333, 0.7500, 0.4309), Nd at (0.1598, 0.2500, 0.7207), Ge at (0.1189, 0.2500, 0.2890), Ge at (0.2396, 0.7500, 0.0398) and H at (0.1136, 0.2500, 0.8637).

=====

No. 12
The following is a DFT calculation (PBE-GGA) of crystalline Nd6Ge2H at its relaxed geometry.

It has space group P2_1/c (No. 14), with a = 6.4623 Å, b = 7.8766 Å, c = 11.5279 Å, α = 90.00°, β = 123.82° and γ = 90.00°. The inequivalent atoms are Nd at (0.0727, 0.1966, 0.4475), Nd at (0.3215, 0.6837, 0.4477), Nd at (0.3854, 0.0308, 0.2530), Ge at (0.1678, 0.1177, 0.7461) and H at (0.0000, 0.0000, 0.0000).

=====

| no. | E (eV per atom) |
| --- | --- |
| 1 | -4.89 |
| 2 | -4.87 |
| 3 | -4.99 |
| 4 | -5.00 |
| 5 | -5.13 |
| 6 | -5.13 |
| 7 | -5.08 |
| 8 | -4.77 |
| 9 | -4.67 |
| 10 | -5.12 |
| 11 | -5.23 |
| 12 | -5.05 |